A plane-wave DFT calculation with PBE-GGA was carried out for a relaxed TlZnTc2 crystal.

```
data_TlZnTc2
_chemical_formula_sum 'Tl2 Zn2 Tc4'
_space_group_name_H-M_alt 'I m m 2'
_space_group_IT_number 44
_space_group_name_Hall 'I 2 -2'
_cell_length_a 3.388
_cell_length_b 4.514
_cell_length_c 8.695
_cell_angle_alpha 90.00
_cell_angle_beta 90.00
_cell_angle_gamma 90.00
loop_
_atom_site_label
_atom_site_type_symbol
_atom_site_fract_x
_atom_site_fract_y
_atom_site_fract_z
Tl1 Tl 0.000 0.000 0.000
Zn1 Zn 0.000 0.500 0.761
Tc1 Tc 0.000 0.000 0.510
Tc2 Tc 0.000 0.500 0.232
```

## Properties
Crystal system: orthorhombic
Formation enthalpy at 0 K, eV/atom: 0.53
Polymorph energy (0 for the lowest one), meV/atom: 314.3
Magnetic moment, μB per atom: 0.000

A plane-wave DFT calculation with PBE-GGA was carried out for a relaxed TlZn2Tc crystal.

```
data_TlZn2Tc
_chemical_formula_sum 'Tl4 Zn8 Tc4'
_space_group_name_H-M_alt 'F m -3 m'
_space_group_IT_number 225
_space_group_name_Hall '-F 4 2 3'
_cell_length_a 6.432
_cell_length_b 6.432
_cell_length_c 6.432
_cell_angle_alpha 90.00
_cell_angle_beta 90.00
_cell_angle_gamma 90.00
loop_
_atom_site_label
_atom_site_type_symbol
_atom_site_fract_x
_atom_site_fract_y
_atom_site_fract_z
Tl1 Tl 0.000 0.000 0.000
Zn1 Zn 0.250 0.250 0.250
Tc1 Tc 0.000 0.000 0.500
```

## Properties
Crystal system: cubic
Formation enthalpy at 0 K, eV/atom: 0.58
Polymorph energy (0 for the lowest one), meV/atom: 266.6
Magnetic moment, μB per atom: 0.000

A plane-wave DFT calculation with PBE-GGA was carried out for a relaxed Tl2ZnTc crystal.

```
data_Tl2ZnTc
_chemical_formula_sum 'Tl2 Zn1 Tc1'
_space_group_name_H-M_alt 'P m m m'
_space_group_IT_number 47
_space_group_name_Hall '-P 2 2'
_cell_length_a 3.099
_cell_length_b 4.903
_cell_length_c 5.403
_cell_angle_alpha 90.00
_cell_angle_beta 90.00
_cell_angle_gamma 90.00
loop_
_atom_site_label
_atom_site_type_symbol
_atom_site_fract_x
_atom_site_fract_y
_atom_site_fract_z
Tl1 Tl 0.000 0.000 0.000
Tl2 Tl 0.500 0.000 0.500
Zn1 Zn 0.000 0.500 0.500
Tc1 Tc 0.500 0.500 0.000
```

## Properties
Crystal system: orthorhombic
Formation enthalpy at 0 K, eV/atom: 0.69
Polymorph energy (0 for the lowest one), meV/atom: 234.5
Magnetic moment, μB per atom: 0.169

A plane-wave DFT calculation with PBE-GGA was carried out for a relaxed Tl2ZnTc crystal.

```
data_Tl2ZnTc
_chemical_formula_sum 'Tl4 Zn2 Tc2'
_space_group_name_H-M_alt 'C m m m'
_space_group_IT_number 65
_space_group_name_Hall '-C 2 2'
_cell_length_a 6.121
_cell_length_b 8.171
_cell_length_c 3.209
_cell_angle_alpha 90.00
_cell_angle_beta 90.00
_cell_angle_gamma 90.00
loop_
_atom_site_label
_atom_site_type_symbol
_atom_site_fract_x
_atom_site_fract_y
_atom_site_fract_z
Tl1 Tl 0.250 0.250 0.000
Zn1 Zn 0.000 0.000 0.500
Tc1 Tc 0.000 0.500 0.500
```

## Properties
Crystal system: orthorhombic
Formation enthalpy at 0 K, eV/atom: 0.62
Polymorph energy (0 for the lowest one), meV/atom: 166.2
Magnetic moment, μB per atom: 0.397

A plane-wave DFT calculation with PBE-GGA was carried out for a relaxed TlZn2Tc crystal.

```
data_TlZn2Tc
_chemical_formula_sum 'Tl3 Zn6 Tc3'
_space_group_name_H-M_alt 'R -3 m'
_space_group_IT_number 166
_space_group_name_Hall '-R 3 2"'
_cell_length_a 3.0358
_cell_length_b 3.0358
_cell_length_c 27.2984
_cell_angle_alpha 90.00
_cell_angle_beta 90.00
_cell_angle_gamma 120.00
loop_
_atom_site_label
_atom_site_type_symbol
_atom_site_fract_x
_atom_site_fract_y
_atom_site_fract_z
Tl1 Tl 0.0000 0.0000 0.0000
Zn1 Zn 0.0000 0.0000 0.2405
Tc1 Tc 0.0000 0.0000 0.5000
```

## Properties
Crystal system: trigonal
Formation enthalpy at 0 K, eV/atom: 0.38
Polymorph energy (0 for the lowest one), meV/atom: 70.1
Magnetic moment, μB per atom: 0.184

A plane-wave DFT calculation with PBE-GGA was carried out for a relaxed TlZn2Tc crystal.

```
data_TlZn2Tc
_chemical_formula_sum 'Tl4 Zn8 Tc4'
_space_group_name_H-M_alt 'I -4 2 d'
_space_group_IT_number 122
_space_group_name_Hall 'I -4 2bw'
_cell_length_a 7.323
_cell_length_b 7.323
_cell_length_c 5.530
_cell_angle_alpha 90.00
_cell_angle_beta 90.00
_cell_angle_gamma 90.00
loop_
_atom_site_label
_atom_site_type_symbol
_atom_site_fract_x
_atom_site_fract_y
_atom_site_fract_z
Tl1 Tl 0.000 0.000 0.000
Zn1 Zn 0.225 0.250 0.625
Tc1 Tc 0.000 0.000 0.500
```

## Properties
Crystal system: tetragonal
Formation enthalpy at 0 K, eV/atom: 0.55
Polymorph energy (0 for the lowest one), meV/atom: 236.8
Magnetic moment, μB per atom: 0.000

A plane-wave DFT calculation with PBE-GGA was carried out for a relaxed Tl2ZnTc crystal.

```
data_Tl2ZnTc
_chemical_formula_sum 'Tl4 Zn2 Tc2'
_space_group_name_H-M_alt 'C 1 2/m 1'
_space_group_IT_number 12
_space_group_name_Hall '-C 2y'
_cell_length_a 9.727
_cell_length_b 3.235
_cell_length_c 5.257
_cell_angle_alpha 90.00
_cell_angle_beta 101.80
_cell_angle_gamma 90.00
loop_
_atom_site_label
_atom_site_type_symbol
_atom_site_fract_x
_atom_site_fract_y
_atom_site_fract_z
Tl1 Tl 0.244 0.000 0.241
Zn1 Zn 0.000 0.000 0.500
Tc1 Tc 0.000 0.500 0.000
```

## Properties
Crystal system: monoclinic
Formation enthalpy at 0 K, eV/atom: 0.66
Polymorph energy (0 for the lowest one), meV/atom: 208.9
Magnetic moment, μB per atom: 0.293

A plane-wave DFT calculation with PBE-GGA was carried out for a relaxed TlZnTc2 crystal.

```
data_TlZnTc2
_chemical_formula_sum 'Tl4 Zn4 Tc8'
_space_group_name_H-M_alt 'F m -3 m'
_space_group_IT_number 225
_space_group_name_Hall '-F 4 2 3'
_cell_length_a 6.393
_cell_length_b 6.393
_cell_length_c 6.393
_cell_angle_alpha 90.00
_cell_angle_beta 90.00
_cell_angle_gamma 90.00
loop_
_atom_site_label
_atom_site_type_symbol
_atom_site_fract_x
_atom_site_fract_y
_atom_site_fract_z
Tl1 Tl 0.000 0.000 0.000
Zn1 Zn 0.000 0.000 0.500
Tc1 Tc 0.250 0.250 0.250
```

## Properties
Crystal system: cubic
Formation enthalpy at 0 K, eV/atom: 0.68
Polymorph energy (0 for the lowest one), meV/atom: 459.1
Magnetic moment, μB per atom: 0.387